No. 1
# KBeN2F

An optimized crystal structure of KBeN2F (GGA-PBE, Alexandria).

Structure (POSCAR):
```
KBeN2F
1.0
3.429 0.000 0.000
0.000 3.429 0.000
0.000 0.000 5.646
K Be N F
1 1 2 1
Direct
0.000 0.000 0.000
0.500 0.500 0.500
0.000 0.500 0.500
0.500 0.000 0.500
0.500 0.500 0.000
```

Properties
Magnetization ... 1.67 μB/f.u.
Distance to the lowest polymorph of the same formula ... 0 meV per atom
Space group ... No. 123
Formation energy without anion corrections ... 0.003 eV per atom



No. 2
# KBeNF2

An optimized crystal structure of KBeNF2 (GGA-PBE, Alexandria).

Structure (POSCAR):
```
KBeNF2
1.0
4.823 0.000 0.000
0.000 4.823 0.000
0.000 0.000 4.966
K Be N F
1 1 1 2
Direct
0.000 0.000 0.000
0.500 0.500 0.500
0.000 0.000 0.500
0.000 0.500 0.000
0.500 0.000 0.000
```

Properties
Magnetization ... 1.97 μB/f.u.
Distance to the lowest polymorph of the same formula ... 1914 meV per atom
Space group ... No. 123
Formation energy without anion corrections ... 0.556 eV per atom



No. 3
# K2NaBeF5

An optimized crystal structure of K2NaBeF5 (GGA-PBE, Alexandria).

Structure (POSCAR):
```
K2NaBeF5
1.0
6.875 0.000 0.000
0.000 6.875 0.000
0.000 0.000 5.966
K Na Be F
4 2 2 10
Direct
0.176 0.324 0.000
0.324 0.824 0.000
0.676 0.176 0.000
0.824 0.676 0.000
0.000 0.000 0.500
0.500 0.500 0.500
0.000 0.500 0.500
0.500 0.000 0.500
0.000 0.000 0.000
0.121 0.621 0.307
0.121 0.621 0.693
0.379 0.121 0.307
0.379 0.121 0.693
0.500 0.500 0.000
0.621 0.879 0.307
0.621 0.879 0.693
0.879 0.379 0.307
0.879 0.379 0.693
```

Properties
Magnetization ... 0.10 μB/f.u.
Space group ... No. 127
Formation energy without anion corrections ... -2.714 eV per atom



No. 4
# KNaBeF4

An optimized crystal structure of KNaBeF4 (GGA-PBE, Alexandria).

Structure (POSCAR):
```
KNaBeF4
1.0
4.927 0.000 0.000
0.000 5.566 0.000
-1.933 0.000 6.939
K Na Be F
2 2 2 8
Direct
0.202 0.250 0.105
0.798 0.750 0.895
0.186 0.750 0.499
0.814 0.250 0.501
0.383 0.250 0.706
0.617 0.750 0.294
0.237 0.020 0.759
0.237 0.480 0.759
0.296 0.750 0.197
0.326 0.250 0.480
0.674 0.750 0.520
0.704 0.250 0.803
0.763 0.520 0.241
0.763 0.980 0.241
```

Properties
Magnetization ... 0.00 μB/f.u.
Space group ... No. 11
Formation energy without anion corrections ... -3.037 eV per atom